Record 1
# CuTc2GeAs | Alexandria via LeMat-Bulk | PBE | optimized geometry
data_CuTc2GeAs
_chemical_formula_sum 'Cu1 Tc2 Ge1 As1'
_cell_length_a 4.6435
_cell_length_b 4.6435
_cell_length_c 4.7994
_cell_angle_alpha 90.00
_cell_angle_beta 90.00
_cell_angle_gamma 90.00
_symmetry_space_group_name_H-M 'P 4/m m m'
_symmetry_Int_Tables_number 123
_symmetry_space_group_name_Hall '-P 4 2'
loop_
_atom_site_label
_atom_site_fract_x
_atom_site_fract_y
_atom_site_fract_z
_atom_site_occupancy
Cu1 0.0000 0.0000 0.0000 1
Tc1 0.0000 0.5000 0.5000 1
Ge1 0.5000 0.5000 0.5000 1
As1 0.5000 0.5000 0.0000 1
# - E_tot: -5.333 eV/atom
# - D(E_F): 5.25 states/eV per cell
# - Energy of formation: 1486.0 meV per atom

---

Record 2
# TlP2 | Alexandria via LeMat-Bulk | PBE | optimized geometry
data_TlP2
_chemical_formula_sum 'Tl4 P8'
_cell_length_a 4.9695
_cell_length_b 4.9695
_cell_length_c 11.5639
_cell_angle_alpha 90.00
_cell_angle_beta 90.00
_cell_angle_gamma 90.00
_symmetry_space_group_name_H-M 'I 41/a m d'
_symmetry_Int_Tables_number 141
loop_
_symmetry_equiv_pos_as_xyz
'x,y,z'
'-x,-y,-z'
'-y+1/4,x+3/4,z+1/4'
'y+1/4,-x+3/4,-z+1/4'
'-x+1/2,-y,z+1/2'
'x+1/2,y,-z+1/2'
'y+1/4,-x+1/4,z+3/4'
'-y+1/4,x+1/4,-z+3/4'
'x,-y,-z'
'-x,y,z'
'-y+1/4,-x+1/4,-z+3/4'
'y+1/4,x+1/4,z+3/4'
'-x+1/2,y,-z+1/2'
'x+1/2,-y,z+1/2'
'y+1/4,x+3/4,-z+1/4'
'-y+1/4,-x+3/4,z+1/4'
'x+1/2,y+1/2,z+1/2'
'-x+1/2,-y+1/2,-z+1/2'
'-y+3/4,x+1/4,z+3/4'
'y+3/4,-x+1/4,-z+3/4'
'-x,-y+1/2,z'
'x,y+1/2,-z'
'y+3/4,-x+3/4,z+1/4'
'-y+3/4,x+3/4,-z+1/4'
'x+1/2,-y+1/2,-z+1/2'
'-x+1/2,y+1/2,z+1/2'
'-y+3/4,-x+3/4,-z+1/4'
'y+3/4,x+3/4,z+1/4'
'-x,y+1/2,-z'
'x,-y+1/2,z'
'y+3/4,x+1/4,-z+3/4'
'-y+3/4,-x+1/4,z+3/4'
loop_
_atom_site_label
_atom_site_fract_x
_atom_site_fract_y
_atom_site_fract_z
_atom_site_occupancy
Tl1 0.0000 0.2500 0.3750 1
P1 0.0000 0.2500 0.7841 1
# - E_tot: -4.170 eV/atom
# - D(E_F): 4.87 states/eV per cell
# - Energy of formation: 225.7 meV per atom
# - Relative energy among the computed polymorphs: 0.188 eV per atom

---

Record 3
# LaU3Cu4Se12 | Alexandria via LeMat-Bulk | PBE | optimized geometry
data_LaU3Cu4Se12
_chemical_formula_sum 'La3 U9 Cu12 Se36'
_cell_length_a 14.0952
_cell_length_b 14.0952
_cell_length_c 10.0301
_cell_angle_alpha 90.00
_cell_angle_beta 90.00
_cell_angle_gamma 120.00
_symmetry_space_group_name_H-M 'R 3 2'
_symmetry_Int_Tables_number 155
_symmetry_space_group_name_Hall 'R 3 2"'
loop_
_atom_site_label
_atom_site_fract_x
_atom_site_fract_y
_atom_site_fract_z
_atom_site_occupancy
La1 0.0000 0.0000 0.0000 1
U1 0.0000 0.5612 0.0000 1
Cu1 0.0000 0.0000 0.5000 1
Cu2 0.0000 0.4213 0.5000 1
Se1 0.0000 0.5945 0.5000 1
Se2 0.0000 0.8390 0.5000 1
Se3 0.0503 0.2002 0.1800 1
# - E_tot: -5.554 eV/atom
# - E_form (uncorrected): -0.705 eV per atom
# - D(E_F): 24.59 states/eV per cell

---

Record 4
# NbNiPd | Alexandria via LeMat-Bulk | PBE | optimized geometry
data_NbNiPd
_chemical_formula_sum 'Nb2 Ni2 Pd2'
_cell_length_a 4.4857
_cell_length_b 2.8011
_cell_length_c 7.1378
_cell_angle_alpha 90.00
_cell_angle_beta 100.15
_cell_angle_gamma 90.00
_symmetry_space_group_name_H-M 'P 1 21/m 1'
_symmetry_Int_Tables_number 11
loop_
_symmetry_equiv_pos_as_xyz
'x,y,z'
'-x,-y,-z'
'-x,y+1/2,-z'
'x,-y+1/2,z'
loop_
_atom_site_label
_atom_site_fract_x
_atom_site_fract_y
_atom_site_fract_z
_atom_site_occupancy
Nb1 0.1678 0.2500 0.1991 1
Ni1 0.3492 0.2500 0.8781 1
Pd1 0.2662 0.7500 0.5592 1
# - E_tot: -7.257 eV/atom
# - D(E_F): 4.39 states/eV per cell
# - Energy of formation: -242.3 meV per atom
# - Relative energy among the computed polymorphs: 0.096 eV per atom

---

Record 5
# K2LaSi | Alexandria via LeMat-Bulk | PBE | optimized geometry
data_K2LaSi
_chemical_formula_sum 'K4 La2 Si2'
_cell_length_a 3.7076
_cell_length_b 6.0718
_cell_length_c 15.7290
_cell_angle_alpha 90.00
_cell_angle_beta 90.00
_cell_angle_gamma 90.00
_symmetry_space_group_name_H-M 'I m m 2'
_symmetry_Int_Tables_number 44
loop_
_symmetry_equiv_pos_as_xyz
'x,y,z'
'-x,-y,z'
'-x,y,z'
'x,-y,z'
'x+1/2,y+1/2,z+1/2'
'-x+1/2,-y+1/2,z+1/2'
'-x+1/2,y+1/2,z+1/2'
'x+1/2,-y+1/2,z+1/2'
loop_
_atom_site_label
_atom_site_fract_x
_atom_site_fract_y
_atom_site_fract_z
_atom_site_occupancy
K1 0.0000 0.0000 0.0000 1
K2 0.0000 0.5000 0.1627 1
La1 0.0000 0.0000 0.3219 1
Si1 0.0000 0.5000 0.6834 1
# - E_tot: -2.943 eV/atom
# - E_form (uncorrected): 0.194 eV per atom
# - D(E_F): 7.96 states/eV per cell

---

Record 6
# BaCaTe2 | Alexandria via LeMat-Bulk | PBE | optimized geometry
data_BaCaTe2
_chemical_formula_sum 'Ba4 Ca4 Te8'
_cell_length_a 8.1924
_cell_length_b 4.4485
_cell_length_c 17.8302
_cell_angle_alpha 90.00
_cell_angle_beta 90.00
_cell_angle_gamma 90.00
_symmetry_space_group_name_H-M 'P n m a'
_symmetry_Int_Tables_number 62
loop_
_symmetry_equiv_pos_as_xyz
'x,y,z'
'-x,-y,-z'
'-x+1/2,-y,z+1/2'
'x+1/2,y,-z+1/2'
'x+1/2,-y+1/2,-z+1/2'
'-x+1/2,y+1/2,z+1/2'
'-x,y+1/2,-z'
'x,-y+1/2,z'
loop_
_atom_site_label
_atom_site_fract_x
_atom_site_fract_y
_atom_site_fract_z
_atom_site_occupancy
Ba1 0.1833 0.2500 0.0893 1
Ca1 0.2152 0.7500 0.3230 1
Te1 0.0430 0.7500 0.7399 1
Te2 0.2402 0.7500 0.9522 1
# - E_tot: -4.053 eV/atom
# - E_form (uncorrected): -1.501 eV per atom
# - D(E_F): 0.00 states/eV per cell
# - Relative energy among the computed polymorphs: 0.195 eV per atom